[1]
ThPaRu4 | Alexandria | GGA-PBE | optimized geometry; space group = F-43m; energy = -0.3420 hartree per atom; ΔE_f = -0.304 eV per atom; D(E_F) = 10.57 states/eV/f.u.
1.0
-4.561 2.523 1.298
-3.990 -2.711 2.364
-1.186 0.920 5.158
Ru Pa Th
4 1 1
direct
0.625 0.124 0.625
0.124 0.625 0.625
0.625 0.625 0.124
0.625 0.625 0.625
0.000 0.000 0.000
0.250 0.250 0.250


[2]
ThPaRu | Alexandria | GGA-PBE | optimized geometry; ΔE to the lowest computed polymorph = 56 meV/atom; space group = P2_1/c; energy = -0.3285 hartree per atom; ΔE_f = -0.209 eV per atom; D(E_F) = 3.76 states/eV/f.u.
1.0
5.981 0.000 0.000
0.000 6.483 -2.225
0.000 1.096 7.626
Pa Th Ru
4 4 4
direct
0.121 0.692 0.876
0.621 0.808 0.624
0.379 0.192 0.376
0.879 0.308 0.124
0.395 0.195 0.903
0.895 0.305 0.597
0.605 0.805 0.097
0.105 0.695 0.403
0.600 0.520 0.332
0.400 0.480 0.668
0.100 0.980 0.168
0.900 0.020 0.832


[3]
PaTiRu | Alexandria | GGA-PBE | optimized geometry; ΔE to the lowest computed polymorph = 0 meV/atom; space group = P3m1; energy = -0.3338 hartree per atom; ΔE_f = -0.193 eV per atom; D(E_F) = 3.41 states/eV/f.u.
1.0
2.997 0.000 0.000
0.000 4.554 0.000
0.000 -2.277 3.944
Pa Ru Ti
1 1 1
direct
0.653 0.333 0.667
0.368 0.667 0.333
0.979 0.000 0.000


[4]
PaTi2Ru | Alexandria | GGA-PBE | optimized geometry; ΔE to the lowest computed polymorph = 406 meV/atom; space group = R-3m; energy = -0.3127 hartree per atom; ΔE_f = 0.130 eV per atom; D(E_F) = 6.65 states/eV/f.u.
1.0
4.080 0.000 0.000
2.040 3.533 0.000
2.040 1.178 5.591
Ti Pa Ru
2 1 1
direct
0.284 0.284 0.148
0.716 0.716 0.852
0.500 0.500 0.500
0.000 0.000 0.000


[5]
PaTiRu | Alexandria | GGA-PBE | optimized geometry; ΔE to the lowest computed polymorph = 114 meV/atom; space group = R-3m; energy = -0.3296 hartree per atom; ΔE_f = -0.079 eV per atom; D(E_F) = 3.98 states/eV/f.u.
1.0
3.694 0.000 0.000
1.847 3.200 0.000
1.847 1.067 10.439
Ti Pa Ru
2 2 2
direct
0.802 0.802 0.595
0.198 0.198 0.405
0.374 0.374 0.879
0.626 0.626 0.121
0.095 0.095 0.716
0.905 0.905 0.284


[6]
PaTi2Ru | Alexandria | GGA-PBE | optimized geometry; ΔE to the lowest computed polymorph = 0 meV/atom; space group = P4/mmm; energy = -0.3277 hartree per atom; ΔE_f = -0.276 eV per atom; D(E_F) = 8.27 states/eV/f.u.
1.0
-0.864 -2.317 1.840
1.283 -2.020 -1.942
6.590 0.549 3.784
Pa Ti Ru
1 2 1
direct
0.500 0.500 0.500
0.000 0.000 0.801
0.000 0.000 0.199
0.500 0.500 0.000


[7]
PaTiZnRu | Alexandria | GGA-PBE | optimized geometry; space group = F-43m; energy = -0.2651 hartree per atom; ΔE_f = -0.228 eV per atom; D(E_F) = 4.33 states/eV/f.u.
1.0
4.601 0.000 0.000
2.301 3.985 0.000
2.301 1.328 3.757
Ru Zn Pa Ti
1 1 1 1
direct
0.500 0.500 0.500
0.750 0.750 0.750
0.250 0.250 0.250
0.000 0.000 0.000


[8]
Pa2TlRu | Alexandria | GGA-PBE | optimized geometry; ΔE to the lowest computed polymorph = 124 meV/atom; space group = R-3m; energy = -0.2837 hartree per atom; ΔE_f = -0.062 eV per atom; D(E_F) = 6.89 states/eV/f.u.
1.0
-1.340 -3.544 -0.591
2.431 -2.868 -0.756
1.001 -3.727 7.630
Pa Tl Ru
2 1 1
direct
0.732 0.732 0.804
0.268 0.268 0.196
0.500 0.500 0.500
0.000 0.000 0.000


[9]
Pa2TlRu | Alexandria | GGA-PBE | optimized geometry; ΔE to the lowest computed polymorph = 0 meV/atom; space group = P4/mmm; energy = -0.2883 hartree per atom; ΔE_f = -0.186 eV per atom; D(E_F) = 5.86 states/eV/f.u.
1.0
-3.136 -0.524 -0.264
0.503 -1.660 -2.677
0.846 -7.472 4.792
Tl Pa Ru
1 2 1
direct
0.500 0.500 0.500
0.000 0.000 0.212
0.000 0.000 0.788
0.500 0.500 0.000


[10]
PaTlRu2 | Alexandria | GGA-PBE | optimized geometry; ΔE to the lowest computed polymorph = 72 meV/atom; space group = Fm-3m; energy = -0.2853 hartree per atom; ΔE_f = -0.161 eV per atom; D(E_F) = 1.72 states/eV/f.u.
1.0
4.755 0.000 0.000
2.378 4.118 0.000
2.378 1.373 3.883
Tl Ru Pa
1 2 1
direct
0.500 0.500 0.500
0.750 0.750 0.750
0.250 0.250 0.250
0.000 0.000 0.000


[11]
PaTlRu2 | Alexandria | GGA-PBE | optimized geometry; ΔE to the lowest computed polymorph = 142 meV/atom; space group = P4/mmm; energy = -0.2828 hartree per atom; ΔE_f = -0.091 eV per atom; D(E_F) = 3.84 states/eV/f.u.
1.0
3.456 0.000 0.000
0.000 3.456 0.000
0.000 0.000 6.558
Tl Ru Pa
1 2 1
direct
0.500 0.500 0.500
0.000 0.000 0.779
0.000 0.000 0.221
0.500 0.500 0.000


[12]
PaTlRu2 | Alexandria | GGA-PBE | optimized geometry; ΔE to the lowest computed polymorph = 0 meV/atom; space group = P4/mmm; energy = -0.2880 hartree per atom; ΔE_f = -0.233 eV per atom; D(E_F) = 1.11 states/eV/f.u.
1.0
-1.530 -2.659 2.033
2.557 -3.064 -2.083
3.198 0.547 3.121
Ru Pa Tl
2 1 1
direct
0.000 0.500 0.000
0.000 0.000 0.500
0.500 0.500 0.500
0.500 0.000 0.000


[13]
Tm3PaRu3 | Alexandria | GGA-PBE | optimized geometry; space group = R3m; energy = -0.2856 hartree per atom; ΔE_f = -0.523 eV per atom; D(E_F) = 2.73 states/eV/f.u.
1.0
5.437 -0.050 -1.887
-2.799 4.839 -1.981
0.029 -0.050 5.755
Ru Tm Pa
3 3 1
direct
0.464 0.500 0.000
0.000 0.500 0.464
0.536 0.036 0.536
0.401 0.999 0.000
0.000 0.999 0.401
0.599 0.598 0.599
0.000 0.393 0.000


[14]
TmPaRu4 | Alexandria | GGA-PBE | optimized geometry; space group = F-43m; energy = -0.3244 hartree per atom; ΔE_f = -0.315 eV per atom; D(E_F) = 8.88 states/eV/f.u.
1.0
5.318 0.000 0.000
2.659 4.606 0.000
2.659 1.535 4.342
Ru Tm Pa
4 1 1
direct
0.625 0.625 0.625
0.625 0.625 0.124
0.625 0.124 0.625
0.124 0.625 0.625
0.000 0.000 0.000
0.250 0.250 0.250


[15]
TmPaRu2 | Alexandria | GGA-PBE | optimized geometry; space group = P4/mmm; energy = -0.3181 hartree per atom; ΔE_f = -0.525 eV per atom; D(E_F) = 3.27 states/eV/f.u.
1.0
-2.439 2.427 0.056
-1.390 -1.462 2.788
3.898 3.825 3.950
Ru Tm Pa
2 1 1
direct
0.000 0.000 0.226
0.000 0.000 0.774
0.500 0.500 0.500
0.500 0.500 0.000


[16]
Tm2PaRu3 | Alexandria | GGA-PBE | optimized geometry; ΔE to the lowest computed polymorph = 363 meV/atom; space group = Immm; energy = -0.2905 hartree per atom; ΔE_f = -0.193 eV per atom; D(E_F) = 4.02 states/eV/f.u.
1.0
-2.389 1.841 1.460
-2.610 -4.611 1.546
5.996 1.342 4.274
Ru Tm Pa
3 2 1
direct
0.348 0.348 0.696
0.652 0.652 0.304
0.000 0.000 0.000
0.667 0.167 0.333
0.333 0.833 0.667
0.000 0.500 0.000


[17]
TmPa2Ru3 | Alexandria | GGA-PBE | optimized geometry; space group = P-1; energy = -0.3330 hartree per atom; ΔE_f = -0.512 eV per atom; D(E_F) = 4.44 states/eV/f.u.
1.0
5.384 -0.515 0.559
-3.287 5.750 -2.808
0.825 -0.730 8.902
Ru Pa Tm
6 4 2
direct
0.302 0.888 0.724
0.672 0.529 0.359
0.968 0.628 0.919
0.698 0.112 0.276
0.032 0.372 0.081
0.328 0.471 0.641
0.545 0.750 0.972
0.298 0.657 0.380
0.455 0.250 0.028
0.702 0.343 0.620
0.922 0.027 0.707
0.078 0.973 0.293


[18]
Tm5PaRu6 | Alexandria | GGA-PBE | optimized geometry; space group = Cmmm; energy = -0.2881 hartree per atom; ΔE_f = -0.547 eV per atom; D(E_F) = 7.00 states/eV/f.u.
1.0
4.553 -0.027 1.517
0.036 6.751 0.012
0.038 -0.014 7.474
Tm Ru Pa
5 6 1
direct
0.667 0.500 0.665
0.000 0.500 0.000
0.329 0.000 0.342
0.333 0.500 0.335
0.671 0.000 0.658
0.159 0.240 0.682
0.159 0.760 0.682
0.500 0.238 0.000
0.500 0.762 0.000
0.841 0.760 0.318
0.841 0.240 0.318
0.000 0.000 0.000


[19]
Tm5Pa2Ru5 | Alexandria | GGA-PBE | optimized geometry; space group = C2/m; energy = -0.2830 hartree per atom; ΔE_f = -0.390 eV per atom; D(E_F) = 8.05 states/eV/f.u.
1.0
4.836 0.003 0.887
2.339 4.233 0.887
0.166 0.098 12.618
Pa Ru Tm
2 5 5
direct
0.926 0.926 0.224
0.074 0.074 0.776
0.140 0.140 0.576
0.385 0.385 0.843
0.860 0.860 0.424
0.000 0.000 0.000
0.615 0.615 0.157
0.782 0.782 0.652
0.500 0.500 0.500
0.310 0.310 0.071
0.218 0.218 0.348
0.690 0.690 0.929


[20]
Tm3Pa2Ru4 | Alexandria | GGA-PBE | optimized geometry; space group = P-1; energy = -0.3006 hartree per atom; ΔE_f = -0.457 eV per atom; D(E_F) = 5.91 states/eV/f.u.
1.0
-5.232 -1.726 -4.426
4.362 -0.248 -5.180
0.434 -7.513 4.515
Ru Pa Tm
8 4 6
direct
0.013 0.211 0.478
0.435 0.209 0.427
0.787 0.538 0.036
0.324 0.980 0.052
0.676 0.020 0.948
0.565 0.791 0.573
0.213 0.462 0.964
0.987 0.789 0.522
0.490 0.345 0.117
0.510 0.655 0.883
0.745 0.469 0.473
0.255 0.531 0.527
0.698 0.917 0.283
0.985 0.760 0.850
0.015 0.240 0.150
0.804 0.188 0.730
0.302 0.083 0.717
0.196 0.812 0.270


[21]
Tm4PaRu5 | Alexandria | GGA-PBE | optimized geometry; space group = P4/mmm; energy = -0.2894 hartree per atom; ΔE_f = -0.499 eV per atom; D(E_F) = 5.13 states/eV/f.u.
1.0
-1.306 1.669 -2.649
-2.388 -2.387 -0.327
-10.026 8.610 10.367
Tm Ru Pa
4 5 1
direct
0.000 0.000 0.598
0.000 0.000 0.794
0.000 0.000 0.206
0.000 0.000 0.402
0.500 0.500 0.701
0.500 0.500 0.089
0.500 0.500 0.299
0.500 0.500 0.911
0.500 0.500 0.500
0.000 0.000 0.000


[22]
Tm2PaRu3 | Alexandria | GGA-PBE | optimized geometry; ΔE to the lowest computed polymorph = 0 meV/atom; space group = P-3m1; energy = -0.3038 hartree per atom; ΔE_f = -0.555 eV per atom; D(E_F) = 1.64 states/eV/f.u.
1.0
4.798 0.000 0.000
-2.399 4.155 0.000
0.000 0.000 5.837
Pa Ru Tm
1 3 2
direct
0.000 0.000 0.000
0.667 0.333 0.849
0.000 0.000 0.500
0.333 0.667 0.151
0.667 0.333 0.344
0.333 0.667 0.656


[23]
Y2TmPa2Ru5 | Alexandria | GGA-PBE | optimized geometry; space group = P4/mbm; energy = -0.3162 hartree per atom; ΔE_f = -0.326 eV per atom; D(E_F) = 6.35 states/eV/f.u.
1.0
-3.299 0.256 -1.557
-2.864 -9.148 4.560
-3.576 5.333 8.453
Pa Tm Ru Y
4 2 10 4
direct
0.000 0.635 0.865
0.000 0.135 0.635
0.000 0.365 0.135
0.000 0.865 0.365
0.000 0.000 0.000
0.000 0.500 0.500
0.500 0.946 0.207
0.500 0.000 0.500
0.500 0.207 0.054
0.500 0.500 0.000
0.500 0.446 0.293
0.500 0.793 0.946
0.500 0.707 0.446
0.500 0.293 0.554
0.500 0.054 0.793
0.500 0.554 0.707
0.000 0.172 0.328
0.000 0.328 0.828
0.000 0.828 0.672
0.000 0.672 0.172


[24]
TmPaZnRu | Alexandria | GGA-PBE | optimized geometry; space group = F-43m; energy = -0.2338 hartree per atom; ΔE_f = -0.233 eV per atom; D(E_F) = 4.89 states/eV/f.u.
1.0
4.890 0.000 0.000
2.445 4.235 0.000
2.445 1.412 3.992
Tm Zn Ru Pa
1 1 1 1
direct
0.750 0.750 0.750
0.500 0.500 0.500
0.000 0.000 0.000
0.250 0.250 0.250


[25]
UPaRu5 | Alexandria | GGA-PBE | optimized geometry; space group = P4/mmm; energy = -0.3574 hartree per atom; ΔE_f = -0.131 eV per atom; D(E_F) = 8.16 states/eV/f.u.
1.0
3.998 0.000 0.000
0.000 3.998 0.000
0.000 0.000 7.664
Ru U Pa
5 1 1
direct
0.000 0.500 0.770
0.500 0.500 0.500
0.500 0.000 0.770
0.500 0.000 0.230
0.000 0.500 0.230
0.500 0.500 0.000
0.000 0.000 0.500